Model 1:
Density functional theory data (GGA+U) for a relaxed structure of BaV2SeO8.

Unit cell a=5.2471 b=5.2471 c=7.7936 alpha=87.18 beta=87.18 gamma=65.93
With the nearest neighbours (Å) after each atom.
Sites, in units of the cell vectors:
O (0.2592, 0.7746, 0.1905)  1 V 1.78
O (0.7408, 0.2254, 0.8095)  1 V 1.78
V (0.6300, 0.6300, 0.2060)  4 O 1.69-1.78
Se (0.0000, 0.0000, 0.0000)  6 O 1.99-2.04
O (0.2248, 0.2248, 0.9542)  1 V 1.73
O (0.6950, 0.6950, 0.4055)  1 V 1.69
V (0.3700, 0.3700, 0.7940)  4 O 1.69-1.78
O (0.7752, 0.7752, 0.0458)  1 V 1.73
O (0.7746, 0.2592, 0.1905)  1 V 1.78
O (0.3050, 0.3050, 0.5945)  1 V 1.69
Ba (0.0000, 0.0000, 0.5000)  6 O 2.78-2.83
O (0.2254, 0.7408, 0.8095)  1 V 1.78

---

Model 2:
Density functional theory data (GGA+U) for a relaxed structure of BaV2SeO8.

Unit cell a=5.4486 b=9.1844 c=14.4324 alpha=90.00 beta=90.00 gamma=90.00
With the nearest neighbours (Å) after each atom.
Sites, in units of the cell vectors:
Se (0.7500, 0.2858, 0.3960)  3 O 1.67-1.78
Se (0.2500, 0.7142, 0.6040)  3 O 1.67-1.78
O (0.7500, 0.5836, 0.0512)  1 V 1.66
V (0.7500, 0.9436, 0.2120)  1 O 1.63
O (0.7500, 0.6973, 0.2252)  1 V 1.71
O (0.4863, 0.4297, 0.1935)  2 V 1.81-1.88
O (0.9953, 0.4127, 0.3867)  1 Se 1.78
O (0.2500, 0.7336, 0.4886)  1 Se 1.67
O (0.2500, 0.0836, 0.4488)  1 V 1.66
O (0.5137, 0.9297, 0.3065)  2 V 1.81-1.88
O (0.7500, 0.1189, 0.1944)  1 V 1.63
O (0.9953, 0.0873, 0.8867)  1 Se 1.78
O (0.0137, 0.4297, 0.1935)  2 V 1.81-1.88
V (0.2500, 0.4436, 0.2880)  1 O 1.63
Se (0.2500, 0.7858, 0.1040)  3 O 1.67-1.78
O (0.7500, 0.2664, 0.5114)  1 Se 1.67
O (0.5047, 0.4127, 0.3867)  1 Se 1.78
O (0.2500, 0.3027, 0.7748)  1 V 1.71
O (0.9863, 0.9297, 0.3065)  2 V 1.81-1.88
Ba (0.7500, 0.7936, 0.9201)  6 O 2.70-2.92
O (0.0047, 0.5873, 0.6133)  1 Se 1.78
Se (0.7500, 0.2142, 0.8960)  3 O 1.67-1.78
O (0.9863, 0.5703, 0.8065)  2 V 1.81-1.88
O (0.0047, 0.9127, 0.1133)  1 Se 1.78
O (0.7500, 0.9164, 0.5512)  1 V 1.66
V (0.2500, 0.4615, 0.8371)  4 O 1.66-1.81
Ba (0.2500, 0.2064, 0.0799)  6 O 2.70-2.92
O (0.5047, 0.0873, 0.8867)  1 Se 1.78
Ba (0.2500, 0.2936, 0.5799)  6 O 2.70-2.92
O (0.2500, 0.4164, 0.9488)  1 V 1.66
O (0.7500, 0.2336, 0.0114)  1 Se 1.67
O (0.7500, 0.8027, 0.7252)  1 V 1.71
V (0.2500, 0.0564, 0.7880)  1 O 1.63
O (0.4953, 0.5873, 0.6133)  1 Se 1.78
O (0.4953, 0.9127, 0.1133)  1 Se 1.78
V (0.7500, 0.5385, 0.1629)  4 O 1.66-1.81
O (0.4863, 0.0703, 0.6935)  2 V 1.81-1.88
V (0.7500, 0.5564, 0.7120)  1 O 1.63
O (0.0137, 0.0703, 0.6935)  2 V 1.81-1.88
O (0.7500, 0.3811, 0.6944)  1 V 1.63
O (0.2500, 0.6189, 0.3056)  1 V 1.63
O (0.2500, 0.7664, 0.9886)  1 Se 1.67
Ba (0.7500, 0.7064, 0.4201)  6 O 2.70-2.92
O (0.2500, 0.8811, 0.8056)  1 V 1.63
O (0.5137, 0.5703, 0.8065)  2 V 1.81-1.88
O (0.2500, 0.1973, 0.2748)  1 V 1.71
V (0.7500, 0.9615, 0.6629)  4 O 1.66-1.81
V (0.2500, 0.0385, 0.3371)  4 O 1.66-1.81

---

Pick the most stable structure from those above. Pick: model 2